DFT (PBE-GGA) results for NaLaHgSb after structural relaxation.

Values from the calculation:
The symmetry is No. 216. As for the spin magnetization: 0.00 μB/f.u. The calculation puts the formation energy without anion corrections at -0.6052 eV/atom.

a = 5.4345 Å, b = 5.4345 Å, c = 5.4345 Å
α = 60.00°, β = 60.00°, γ = 60.00°
Last column: nearest neighbours and their distance in Å.
Sites, in units of the cell vectors:
Sb 0.7500 0.7500 0.7500  4 La 3.33, 4 Na 3.33
Na 0.0000 0.0000 0.0000  4 Hg 3.33, 4 Sb 3.33
La 0.5000 0.5000 0.5000  4 Sb 3.33, 4 Hg 3.33
Hg 0.2500 0.2500 0.2500  4 La 3.33, 4 Na 3.33